[1]
## Pr2AsI3 (GGA-PBE)

Data for a relaxed Pr2AsI3 crystal.

Calculated values
Energy in eV per atom: -4.496

Unit cell a=4.737 b=9.462 c=11.732 alpha=74.06 beta=78.35 gamma=75.50
Positions (direct):
Pr 0.403 0.748 0.446
I 0.656 0.698 0.989
Pr 0.858 0.477 0.808
As 0.584 0.493 0.339
Pr 0.142 0.523 0.192
I 0.053 0.141 0.754
Pr 0.597 0.252 0.554
I 0.947 0.859 0.246
I 0.231 0.151 0.387
I 0.769 0.849 0.613
As 0.416 0.507 0.661
I 0.344 0.302 0.011


[2]
## Pr8As3PtI4 (GGA-PBE)

Data for a relaxed Pr8As3PtI4 crystal.

Calculated values
Energy in eV per atom: -5.259
N(E_F) in states/eV per atom: 0.551

Unit cell a=8.754 b=9.219 c=8.754 alpha=118.35 beta=120.00 gamma=90.00
Positions (direct):
I 0.500 0.000 0.500
Pr 0.772 0.303 0.545
I 0.000 0.000 0.000
As 0.000 0.500 0.500
Pr 0.228 0.697 0.969
Pt 0.000 0.500 0.000
Pr 0.772 0.303 0.031
I 0.500 0.000 0.000
Pr 0.267 0.302 0.534
Pr 0.228 0.697 0.455
Pr 0.258 0.303 0.031
Pr 0.733 0.698 0.466
Pr 0.742 0.697 0.969
I 0.000 0.000 0.500
As 0.500 0.500 0.000
As 0.500 0.500 0.500


[3]
## Pr4AsPtI2 (GGA-PBE)

Data for a relaxed Pr4AsPtI2 crystal.

Calculated values
Energy in eV per atom: -5.284
N(E_F) in states/eV per atom: 0.773

Unit cell a=4.249 b=7.786 c=8.136 alpha=106.97 beta=90.00 gamma=90.00
Positions (direct):
As 0.000 0.000 0.000
I 0.500 0.000 0.500
Pr 0.500 0.233 0.200
Pr 0.500 0.767 0.800
Pt 0.500 0.500 0.000
I 0.000 0.500 0.500
Pr 0.000 0.284 0.808
Pr 0.000 0.716 0.192


| no. | M_tot (μB per atom) | formation energy from raw total energies (eV per formula unit) |
| --- | --- | --- |
| 1 | 0.0000 | -8.11 |
| 2 | 0.0000 | -19.72 |
| 3 | 0.0000 | -9.36 |